*one*
DFT (PBE) results for a relaxed structure of ErTmIr2.

Summary:
The calculation puts the size of the total moment at 0.0000 μB per atom. As for the space group: No. 123.

Geometry as POSCAR:
```
ErTmIr2
1.0
4.676 0.000 0.000
0.000 4.676 0.000
0.000 0.000 3.550
Er Tm Ir
1 1 2
Cartesian
0.000 0.000 0.000
2.338 2.338 0.000
0.000 2.338 1.775
2.338 0.000 1.775
```

---

*two*
DFT (PBE) results for a relaxed structure of ErTmIr2.

Summary:
The calculation puts the size of the total moment at 0.0000 μB per atom. As for the space group: No. 225.

Geometry as POSCAR:
```
ErTmIr2
1.0
6.777 0.000 0.000
0.000 6.777 0.000
0.000 0.000 6.777
Er Tm Ir
4 4 8
Cartesian
0.000 0.000 0.000
0.000 3.389 3.389
3.389 0.000 3.389
3.389 3.389 0.000
0.000 0.000 3.389
0.000 3.389 0.000
3.389 0.000 0.000
3.389 3.389 3.389
1.694 1.694 1.694
1.694 1.694 5.083
1.694 5.083 1.694
1.694 5.083 5.083
5.083 1.694 1.694
5.083 1.694 5.083
5.083 5.083 1.694
5.083 5.083 5.083
```

---

In meV per atom, relative to the most stable structure: *one* 0; *two* 8.

---

*one*
DFT (PBE) results for a relaxed structure of ErTm2Ir.

Summary:
The calculation puts the size of the total moment at 0.0992 μB per atom. As for the space group: No. 166.

Geometry as POSCAR:
```
ErTm2Ir
1.0
3.675 0.000 0.000
-1.838 3.183 0.000
0.000 0.000 31.135
Er Tm Ir
3 6 3
Cartesian
0.000 0.000 0.000
0.000 2.122 20.757
1.838 1.061 10.378
0.000 0.000 3.503
0.000 0.000 27.632
0.000 2.122 17.254
0.000 2.122 24.260
1.838 1.061 6.875
1.838 1.061 13.881
0.000 0.000 15.567
0.000 2.122 5.189
1.838 1.061 25.946
```

---

*two*
DFT (PBE) results for a relaxed structure of ErTm2Ir.

Summary:
The calculation puts the size of the total moment at 0.0000 μB per atom. As for the space group: No. 63.

Geometry as POSCAR:
```
ErTm2Ir
1.0
3.871 0.000 0.000
0.000 11.893 0.000
0.000 0.000 8.944
Er Tm Ir
4 8 4
Cartesian
0.000 0.863 2.236
0.000 11.029 6.708
1.935 5.083 6.708
1.935 6.810 2.236
0.000 4.256 0.586
0.000 4.256 3.886
0.000 7.637 5.057
0.000 7.637 8.358
1.935 1.690 5.057
1.935 1.690 8.358
1.935 10.202 0.586
1.935 10.202 3.886
0.000 3.023 6.708
0.000 8.870 2.236
1.935 2.923 2.236
1.935 8.969 6.708
```

---

In meV per atom, relative to the most stable structure: *one* 458; *two* 0.

---

*one*
DFT (PBE) results for a relaxed structure of ErTm3Ir3.

Summary:
The calculation puts the size of the total moment at 0.0000 μB per atom. As for the space group: No. 166.

Geometry as POSCAR:
```
ErTm3Ir3
1.0
4.778 2.759 1.945
-4.778 2.759 1.945
0.000 -5.517 1.945
Er Tm Ir
1 3 3
Cartesian
0.000 0.000 0.000
-2.389 -1.379 1.945
-2.389 1.379 3.891
0.000 2.759 1.945
-4.778 0.000 2.918
-2.389 1.379 0.973
2.389 1.379 0.973
```

---

*two*
DFT (PBE) results for a relaxed structure of ErTm3Ir3.

Summary:
The calculation puts the size of the total moment at 0.0000 μB per atom. As for the space group: No. 12.

Geometry as POSCAR:
```
ErTm3Ir3
1.0
4.085 -5.850 0.000
4.085 5.850 0.000
-0.373 0.000 6.950
Er Tm Ir
2 6 6
Cartesian
1.806 0.000 0.928
5.992 0.000 6.021
0.884 0.000 4.474
4.085 2.711 0.000
3.899 1.655 3.475
3.899 -1.655 3.475
4.085 -2.711 0.000
6.914 0.000 2.476
2.658 3.809 4.507
5.140 3.809 2.443
3.256 0.000 5.681
4.542 0.000 1.269
2.658 -3.809 4.507
5.140 -3.809 2.443
```

---

In meV per atom, relative to the most stable structure: *one* 0; *two* 227.

---

*one*
DFT (PBE) results for a relaxed structure of Y3ErIr.

Summary:
The calculation puts the size of the total moment at 0.0000 μB per atom. As for the space group: No. 221.

Geometry as POSCAR:
```
Y3ErIr
1.0
5.433 0.000 0.000
0.000 5.433 0.000
0.000 0.000 5.433
Y Er Ir
3 1 1
Cartesian
0.000 0.000 2.717
0.000 2.717 0.000
2.717 0.000 0.000
2.717 2.717 2.717
0.000 0.000 0.000
```

---

*two*
DFT (PBE) results for a relaxed structure of Y3ErIr.

Summary:
The calculation puts the size of the total moment at 0.0000 μB per atom. As for the space group: No. 31.

Geometry as POSCAR:
```
Y3ErIr
1.0
7.655 0.000 0.000
0.000 6.518 0.000
0.000 0.000 6.167
Y Er Ir
6 2 2
Cartesian
0.000 1.006 0.000
1.915 2.029 3.098
1.913 4.488 0.014
3.827 5.511 3.084
5.740 2.029 3.098
5.742 4.488 0.014
0.000 5.512 3.113
3.827 1.005 0.029
0.000 3.278 1.570
3.827 3.239 4.654
```

---

In meV per atom, relative to the most stable structure: *one* 101; *two* 0.